# 1
DFT (PBE) results for an optimized crystal structure of PrEuZn. Values from VASP.

Values from the calculation:
**Final energy**: -33.7 eV for the cell shown
**Total magnetic moment**: 14.64 μB/cell
**E_form**: -0.181 eV per atom

```
&SYSTEM
  ibrav = 0, nat = 6, ntyp = 3
/
ATOMIC_SPECIES
Pr 140.91 Pr.upf
Eu 151.96 Eu.upf
Zn 65.41 Zn.upf
CELL_PARAMETERS angstrom
3.7634 0.0000 0.0000
0.0000 3.7634 0.0000
0.0000 0.0000 12.9267
ATOMIC_POSITIONS angstrom
Pr 0.0000 0.0000 0.0000
Pr 1.8817 1.8817 6.4633
Eu 0.0000 0.0000 9.3622
Eu 1.8817 1.8817 2.8989
Zn 0.0000 0.0000 4.7675
Zn 1.8817 1.8817 11.2309
```

=====

# 2
DFT (PBE) results for an optimized crystal structure of SrZnBiF. Values from VASP.

Values from the calculation:
**Final energy**: -30.7 eV for the cell shown
**Total magnetic moment**: 0.00 μB/cell

```
&SYSTEM
  ibrav = 0, nat = 8, ntyp = 4
/
ATOMIC_SPECIES
Sr 87.62 Sr.upf
Zn 65.41 Zn.upf
Bi 208.98 Bi.upf
F 19.00 F.upf
CELL_PARAMETERS angstrom
4.4250 0.0000 0.0000
0.0000 4.4250 0.0000
0.0000 0.0000 9.6636
ATOMIC_POSITIONS angstrom
Sr 1.1063 1.1063 1.2962
Sr 3.3188 3.3188 8.3673
Zn 1.1063 3.3188 4.8318
Zn 3.3188 1.1063 4.8318
Bi 1.1063 1.1063 6.6135
Bi 3.3188 3.3188 3.0501
F 1.1063 3.3188 0.0000
F 3.3188 1.1063 0.0000
```

=====

# 3
DFT (PBE) results for an optimized crystal structure of GdScInCo. Values from VASP.

Values from the calculation:
**Final energy**: -124.0 eV for the cell shown
**Total magnetic moment**: 32.61 μB/cell
**E_form**: -0.183 eV per atom

```
&SYSTEM
  ibrav = 0, nat = 16, ntyp = 4
/
ATOMIC_SPECIES
Gd 157.25 Gd.upf
Sc 44.96 Sc.upf
In 114.82 In.upf
Co 58.93 Co.upf
CELL_PARAMETERS angstrom
7.0185 0.0000 0.0000
0.0000 7.0185 0.0000
0.0000 0.0000 7.0185
ATOMIC_POSITIONS angstrom
Gd 0.0000 0.0000 0.0000
Gd 0.0000 3.5092 3.5092
Gd 3.5092 0.0000 3.5092
Gd 3.5092 3.5092 0.0000
Sc 0.0000 0.0000 3.5092
Sc 0.0000 3.5092 0.0000
Sc 3.5092 0.0000 0.0000
Sc 3.5092 3.5092 3.5092
In 1.7546 1.7546 1.7546
In 1.7546 5.2639 5.2639
In 5.2639 1.7546 5.2639
In 5.2639 5.2639 1.7546
Co 1.7546 1.7546 5.2639
Co 1.7546 5.2639 1.7546
Co 5.2639 1.7546 1.7546
Co 5.2639 5.2639 5.2639
```

=====

# 4
DFT (PBE) results for an optimized crystal structure of Ac2Ga4Ir3Au. Values from VASP.

Values from the calculation:
**Final energy**: -56.7 eV for the cell shown
**Total magnetic moment**: 0.00 μB/cell
**E_form**: -0.648 eV per atom

```
&SYSTEM
  ibrav = 0, nat = 10, ntyp = 4
/
ATOMIC_SPECIES
Ac 227.00 Ac.upf
Ga 69.72 Ga.upf
Ir 192.22 Ir.upf
Au 196.97 Au.upf
CELL_PARAMETERS angstrom
4.4219 0.0000 0.0000
0.0000 4.4219 0.0000
0.0000 0.0000 10.5309
ATOMIC_POSITIONS angstrom
Ac 0.0000 2.2110 2.6055
Ac 2.2110 0.0000 7.9255
Ga 0.0000 0.0000 0.0000
Ga 0.0000 2.2110 6.6365
Ga 2.2110 0.0000 3.8944
Ga 2.2110 2.2110 0.0000
Ir 0.0000 2.2110 9.1879
Ir 2.2110 0.0000 1.3430
Ir 2.2110 2.2110 5.2655
Au 0.0000 0.0000 5.2655
```

=====

# 5
DFT (PBE) results for an optimized crystal structure of UNbO5. Values from VASP.

Values from the calculation:
**Final energy**: -132.2 eV for the cell shown
**Total magnetic moment**: 1.98 μB/cell

```
&SYSTEM
  ibrav = 0, nat = 14, ntyp = 3
/
ATOMIC_SPECIES
U 238.03 U.upf
Nb 92.91 Nb.upf
O 16.00 O.upf
CELL_PARAMETERS angstrom
3.8849 0.0000 0.0000
0.0000 6.5970 0.0000
0.0000 0.0000 8.0604
ATOMIC_POSITIONS angstrom
U 0.0000 0.0000 0.0000
U 1.9425 3.2985 4.0302
Nb 0.0000 0.0000 4.0302
Nb 1.9425 3.2985 0.0000
O 0.0000 0.0000 1.9681
O 0.0000 0.0000 6.0923
O 0.0000 2.0033 4.0302
O 0.0000 3.2985 0.0000
O 0.0000 4.5938 4.0302
O 1.9425 0.0000 4.0302
O 1.9425 1.2953 0.0000
O 1.9425 3.2985 2.0621
O 1.9425 3.2985 5.9983
O 1.9425 5.3018 0.0000
```

=====

# 6
DFT (PBE) results for an optimized crystal structure of CoBr3. Values from VASP.

Values from the calculation:
**Final energy**: -24.0 eV for the cell shown
**Total magnetic moment**: 2.64 μB/cell

```
&SYSTEM
  ibrav = 0, nat = 8, ntyp = 2
/
ATOMIC_SPECIES
Co 58.93 Co.upf
Br 79.90 Br.upf
CELL_PARAMETERS angstrom
3.2623 0.0000 0.0000
0.0000 9.6872 0.0000
0.0000 0.0000 9.8668
ATOMIC_POSITIONS angstrom
Co 0.0000 0.0000 0.0000
Co 1.6311 4.8436 0.0000
Br 0.0000 0.0000 4.9334
Br 0.0000 4.8436 1.6371
Br 0.0000 4.8436 8.2298
Br 1.6311 0.0000 1.6371
Br 1.6311 0.0000 8.2298
Br 1.6311 4.8436 4.9334
```

=====

# 7
DFT (PBE) results for an optimized crystal structure of Cs2LaBiCl6. Values from VASP.

Values from the calculation:
**Final energy**: -38.7 eV for the cell shown
**Total magnetic moment**: 0.00 μB/cell

```
&SYSTEM
  ibrav = 0, nat = 10, ntyp = 4
/
ATOMIC_SPECIES
Cs 132.91 Cs.upf
La 138.91 La.upf
Bi 208.98 Bi.upf
Cl 35.45 Cl.upf
CELL_PARAMETERS angstrom
-3.9334 3.9334 6.8572
3.9334 -3.9334 6.8572
3.9334 3.9334 -6.8572
ATOMIC_POSITIONS angstrom
Cs 3.9334 0.0000 3.4286
Cs 0.0000 3.9334 3.4286
La 0.0000 0.0000 0.0000
Bi 0.0000 0.0000 6.8572
Cl 0.0000 0.0000 2.7649
Cl 1.9601 1.9601 0.0000
Cl 1.9733 -1.9733 6.8572
Cl -1.9733 1.9733 6.8572
Cl 1.9733 1.9733 6.8572
Cl 0.0000 0.0000 10.9496
```

=====

# 8
DFT (PBE) results for an optimized crystal structure of MnP2SI. Values from VASP.

Values from the calculation:
**Final energy**: -18.2 eV for the cell shown
**Total magnetic moment**: 3.94 μB/cell

```
&SYSTEM
  ibrav = 0, nat = 5, ntyp = 4
/
ATOMIC_SPECIES
Mn 54.94 Mn.upf
P 30.97 P.upf
S 32.06 S.upf
I 126.90 I.upf
CELL_PARAMETERS angstrom
5.1517 0.0000 0.0000
0.0000 5.1517 0.0000
0.0000 0.0000 5.0049
ATOMIC_POSITIONS angstrom
Mn 0.0000 0.0000 0.0000
P 0.0000 2.5759 2.5024
P 2.5759 0.0000 2.5024
S 2.5759 2.5759 0.0000
I 2.5759 2.5759 2.5024
```

=====

# 9
DFT (PBE) results for an optimized crystal structure of MgPdSe2. Values from VASP.

Values from the calculation:
**Final energy**: -63.3 eV for the cell shown
**Total magnetic moment**: 0.00 μB/cell

```
&SYSTEM
  ibrav = 0, nat = 16, ntyp = 3
/
ATOMIC_SPECIES
Mg 24.30 Mg.upf
Pd 106.42 Pd.upf
Se 78.96 Se.upf
CELL_PARAMETERS angstrom
5.7511 0.0000 0.0000
0.0000 5.7511 0.0000
0.0000 0.0000 12.2909
ATOMIC_POSITIONS angstrom
Mg 0.0000 0.0000 0.0000
Mg 0.0000 2.8756 3.0727
Mg 2.8756 0.0000 9.2182
Mg 2.8756 2.8756 6.1454
Pd 0.0000 0.0000 6.1454
Pd 0.0000 2.8756 9.2182
Pd 2.8756 0.0000 3.0727
Pd 2.8756 2.8756 0.0000
Se 1.3250 1.4378 7.6818
Se 1.4378 4.2005 10.7545
Se 1.4378 4.4262 4.6091
Se 1.5506 1.4378 1.5364
Se 4.2005 4.3134 1.5364
Se 4.3134 1.3250 4.6091
Se 4.3134 1.5506 10.7545
Se 4.4262 4.3134 7.6818
```

=====

# 10
DFT (PBE) results for an optimized crystal structure of Ti12Nb3Ag5. Values from VASP.

Values from the calculation:
**Final energy**: -493.4 eV for the cell shown
**Total magnetic moment**: 0.01 μB/cell
**E_form**: 0.792 eV per atom

```
&SYSTEM
  ibrav = 0, nat = 80, ntyp = 3
/
ATOMIC_SPECIES
Ti 47.87 Ti.upf
Nb 92.91 Nb.upf
Ag 107.87 Ag.upf
CELL_PARAMETERS angstrom
-7.6998 7.6998 7.6998
7.6998 -7.6998 7.6998
7.6998 7.6998 -7.6998
ATOMIC_POSITIONS angstrom
Ti 7.5757 -1.2464 2.3431
Ti 11.6738 -1.5068 2.6036
Ti 2.3431 -0.1241 1.2464
Ti 9.2066 5.0963 -3.9740
Ti 10.0430 0.1241 1.2464
Ti 9.2066 -2.6036 3.9740
Ti 1.2464 2.3431 -0.1241
Ti 10.3034 3.7258 -1.5068
Ti 5.0963 3.9740 -1.5068
Ti 6.4535 2.3431 0.1241
Ti -0.1241 1.2464 2.3431
Ti 3.9740 -1.5068 5.0963
Ti 7.5757 6.4535 -2.3431
Ti 3.9740 1.5068 2.6036
Ti 6.4535 -2.3431 7.5757
Ti 5.0963 -3.9740 9.2066
Ti 2.6036 3.9740 1.5068
Ti 8.9462 5.3567 0.1241
Ti 2.3431 7.5757 -1.2464
Ti 9.2066 2.6036 3.7258
Ti 1.5068 2.6036 3.9740
Ti 2.3431 0.1241 6.4535
Ti 3.9740 9.2066 -2.6036
Ti 7.5757 1.2464 5.3567
Ti 0.1241 6.4535 2.3431
Ti 3.7258 -1.5068 10.3034
Ti 5.3567 7.5757 1.2464
Ti 6.1930 5.0963 3.7258
Ti -1.5068 5.0963 3.9740
Ti 5.3567 0.1241 8.9462
Ti -1.2464 2.3431 7.5757
Ti 5.0963 3.7258 6.1930
Ti 2.6036 11.6738 -1.5068
Ti 1.2464 10.0430 0.1241
Ti 3.7258 6.1930 5.0963
Ti 0.1241 1.2464 10.0430
Ti 3.7258 9.2066 2.6036
Ti 7.8239 6.4535 5.3567
Ti 1.2464 5.3567 7.5757
Ti 2.6036 3.7258 9.2066
Ti -2.6036 3.9740 9.2066
Ti 6.4535 5.3567 7.8239
Ti -1.5068 10.3034 3.7258
Ti -2.3431 7.5757 6.4535
Ti -1.5068 2.6036 11.6738
Ti 5.3567 7.8239 6.4535
Ti -3.9740 9.2066 5.0963
Ti 0.1241 8.9462 5.3567
Nb 3.8499 1.9250 0.0000
Nb 7.6998 3.8499 -1.9250
Nb 1.9250 0.0000 3.8499
Nb 9.6248 0.0000 3.8499
Nb 0.0000 3.8499 1.9250
Nb 3.8499 -1.9250 7.6998
Nb 3.8499 9.6248 0.0000
Nb 7.6998 3.8499 5.7749
Nb -1.9250 7.6998 3.8499
Nb 5.7749 7.6998 3.8499
Nb 0.0000 3.8499 9.6248
Nb 3.8499 5.7749 7.6998
Ag 0.0000 0.0000 0.0000
Ag 3.8499 3.8499 -3.8499
Ag 3.8499 -3.8499 3.8499
Ag 7.6998 0.0000 0.0000
Ag 11.5497 1.9250 0.0000
Ag 7.6998 -3.8499 5.7749
Ag 5.7749 7.6998 -3.8499
Ag 5.7749 0.0000 3.8499
Ag 3.8499 5.7749 0.0000
Ag 7.6998 3.8499 1.9250
Ag -3.8499 3.8499 3.8499
Ag 0.0000 7.6998 0.0000
Ag 0.0000 0.0000 7.6998
Ag 3.8499 3.8499 3.8499
Ag 0.0000 3.8499 5.7749
Ag 3.8499 1.9250 7.6998
Ag 1.9250 7.6998 3.8499
Ag 1.9250 0.0000 11.5497
Ag 0.0000 11.5497 1.9250
Ag -3.8499 5.7749 7.6998
```

=====

# 11
DFT (PBE) results for an optimized crystal structure of BeSbBr2. Values from VASP.

Values from the calculation:
**Final energy**: -39.0 eV for the cell shown
**Total magnetic moment**: 0.00 μB/cell

```
&SYSTEM
  ibrav = 0, nat = 16, ntyp = 3
/
ATOMIC_SPECIES
Be 9.01 Be.upf
Sb 121.76 Sb.upf
Br 79.90 Br.upf
CELL_PARAMETERS angstrom
6.4215 0.0000 0.0000
0.0000 7.8960 0.0000
0.0000 0.0000 8.1918
ATOMIC_POSITIONS angstrom
Be 0.0000 0.0000 0.0000
Be 0.0000 3.9480 4.0959
Be 3.2108 0.0000 4.0959
Be 3.2108 3.9480 0.0000
Sb 0.0000 0.0000 4.0959
Sb 0.0000 3.9480 0.0000
Sb 3.2108 0.0000 0.0000
Sb 3.2108 3.9480 4.0959
Br 0.0000 1.9740 2.0480
Br 0.0000 1.9740 6.1439
Br 0.0000 5.9220 2.0480
Br 0.0000 5.9220 6.1439
Br 3.2108 1.9740 2.0480
Br 3.2108 1.9740 6.1439
Br 3.2108 5.9220 2.0480
Br 3.2108 5.9220 6.1439
```

=====

# 12
DFT (PBE) results for an optimized crystal structure of YHg4Te. Values from VASP.

Values from the calculation:
**Final energy**: -11.4 eV for the cell shown
**Total magnetic moment**: 0.00 μB/cell

```
&SYSTEM
  ibrav = 0, nat = 6, ntyp = 3
/
ATOMIC_SPECIES
Y 88.91 Y.upf
Hg 200.59 Hg.upf
Te 127.60 Te.upf
CELL_PARAMETERS angstrom
0.0000 4.3030 4.3030
4.3030 0.0000 4.3030
4.3030 4.3030 0.0000
ATOMIC_POSITIONS angstrom
Y 0.0000 0.0000 0.0000
Hg 5.3781 3.2278 3.2278
Hg 3.2278 5.3781 3.2278
Hg 3.2278 3.2278 5.3781
Hg 5.3781 5.3781 5.3781
Te 2.1515 2.1515 2.1515
```